# LiTcRhS2 | Alexandria | PBE | optimized geometry
# Raw formation energy ... 0.60 eV per atom
data_LiTcRhS2
_cell_length_a 4.629
_cell_length_b 4.241
_cell_length_c 4.629
_cell_angle_alpha 90.00
_cell_angle_beta 90.00
_cell_angle_gamma 90.00
_symmetry_space_group_name_H-M 'P 1'
_symmetry_Int_Tables_number 1
loop_
_symmetry_equiv_pos_as_xyz
'x,y,z'
loop_
_atom_site_label
_atom_site_type_symbol
_atom_site_fract_x
_atom_site_fract_y
_atom_site_fract_z
Rh1 Rh 0.000 0.000 0.000
Tc1 Tc 0.500 0.500 0.500
Li1 Li 0.000 0.500 0.000
S1 S 0.500 0.000 0.000
S2 S 0.000 0.000 0.500